[1]
First-principles (PBE) data for crystalline TcIrO5 at its relaxed geometry, as listed in the Alexandria database.

Unit cell a=5.9832 b=5.9832 c=6.8112 alpha=94.46 beta=94.46 gamma=125.81
With the nearest neighbours (Å) after each atom.
Element x y z (fractional)
1 Tc 0.0000 0.0000 0.0000  6 O 1.89-1.96
2 Tc 0.0000 0.0000 0.5000  6 O 1.89-1.96
3 Ir 0.4428 0.5572 0.7500  4 O 1.90-2.03
4 Ir 0.5572 0.4428 0.2500  4 O 1.90-2.03
5 O 0.0686 0.3486 0.6192  1 Ir 1.90, 1 Tc 1.96
6 O 0.0762 0.9238 0.7500  2 Tc 1.89
7 O 0.2573 0.3992 0.9917  1 Tc 1.95, 1 Ir 2.03
8 O 0.3486 0.0686 0.1192  1 Ir 1.90, 1 Tc 1.96
9 O 0.3992 0.2573 0.4917  1 Tc 1.95, 1 Ir 2.03
10 O 0.6008 0.7427 0.5083  1 Tc 1.95, 1 Ir 2.03
11 O 0.6514 0.9314 0.8808  1 Ir 1.90, 1 Tc 1.96
12 O 0.7427 0.6008 0.0083  1 Tc 1.95, 1 Ir 2.03
13 O 0.9238 0.0762 0.2500  2 Tc 1.89
14 O 0.9314 0.6514 0.3808  1 Ir 1.90, 1 Tc 1.96

Calculated values
Size of the total moment ... 0.00 μB per cell
Space-group type ... C2/c, No. 15
E_form (uncorrected) ... -0.69 eV per atom
V ... 194.8 Å³ per cell


[2]
First-principles (PBE) data for crystalline Tc3IrO at its relaxed geometry, as listed in the Alexandria database.

Unit cell a=4.7351 b=4.7351 c=4.7351 alpha=90.00 beta=90.00 gamma=90.00
With the nearest neighbours (Å) after each atom.
Element x y z (fractional)
1 Tc 0.0000 0.0000 0.5000  2 Ir 2.37
2 Tc 0.0000 0.5000 0.0000  2 Ir 2.37
3 Tc 0.5000 0.0000 0.0000  2 Ir 2.37
4 Ir 0.0000 0.0000 0.0000  6 Tc 2.37
5 O 0.5000 0.5000 0.5000  12 Tc 3.35

Calculated values
Size of the total moment ... 5.55 μB per cell
Space-group type ... Pm-3m, No. 221
E_form (uncorrected) ... 2.23 eV per atom
Energy above the most stable polymorph in this dataset ... 2234 meV/atom
V ... 106.2 Å³ per cell